No. 1
Density functional theory data (GGA-PBEsol) for a relaxed PbSe crystal.

The value obtained for the volume is 28.53 A^3/atom. As for the uncorrected formation energy: -449 meV/atom. The value obtained for the total energy is -52.482 eV for the cell shown.

The structure belongs to space group Cm (No. 8); the cell edges are 11.533, 4.196 and 7.847 Å and the angles 90.00°, 115.61° and 90.00°. The distinct sites, in fractional coordinates, are Pb at (0.000, 0.000, 0.000), Pb at (0.150, 0.000, 0.654), Pb at (0.323, 0.500, 0.363), Se at (0.055, 0.500, 0.289), Se at (0.239, 0.500, 0.935) and Se at (0.392, 0.000, 0.647).

No. 2
Density functional theory data (GGA-PBEsol) for a relaxed PbSe2 crystal.

The value obtained for the volume is 23.73 A^3/atom. As for the uncorrected formation energy: -38 meV/atom. The value obtained for the density of states at the Fermi level is 4.9 states/eV per cell. The value obtained for the total energy is -23.625 eV for the cell shown.

The structure belongs to space group P6_3/mmc (No. 194); the cell edges are 5.3406, 5.3406 and 5.7634 Å and the angles 90.00°, 90.00° and 120.00°. The distinct sites, in fractional coordinates, are Pb at (0.3333, 0.6667, 0.2500), Se at (0.0000, 0.0000, 0.0000) and Se at (0.3333, 0.6667, 0.7500).

No. 3
Density functional theory data (GGA-PBEsol) for a relaxed PbSe crystal.

The value obtained for the volume is 28.26 A^3/atom. As for the uncorrected formation energy: -534 meV/atom. The value obtained for the density of states at the Fermi level is 0.0 states/eV per cell. The value obtained for the total energy is -35.665 eV for the cell shown.

The structure belongs to space group Fm-3m (No. 225); the cell edges are 6.092, 6.092 and 6.092 Å and the angles 90.00°, 90.00° and 90.00°. The distinct sites, in fractional coordinates, are Pb at (0.000, 0.000, 0.000) and Se at (0.000, 0.000, 0.500).

No. 4
Density functional theory data (GGA-PBEsol) for a relaxed SiPb2Se4 crystal.

The value obtained for the volume is 27.43 A^3/atom. As for the uncorrected formation energy: -492 meV/atom. The value obtained for the total energy is -130.356 eV for the cell shown.

The structure belongs to space group P2_1/c (No. 14); the cell edges are 8.418, 7.071 and 13.566 Å and the angles 90.00°, 107.95° and 90.00°. The distinct sites, in fractional coordinates, are Si at (0.200, 0.239, 0.143), Pb at (0.056, 0.155, 0.371), Pb at (0.443, 0.647, 0.135), Se at (0.077, 0.740, 0.948), Se at (0.252, 0.535, 0.736), Se at (0.270, 0.028, 0.766) and Se at (0.373, 0.236, 0.542).

No. 5
Density functional theory data (GGA-PBEsol) for a relaxed SiPbSe2 crystal.

The value obtained for the volume is 24.18 A^3/atom. As for the uncorrected formation energy: -267 meV/atom. The value obtained for the density of states at the Fermi level is 0.0 states/eV per cell. The value obtained for the total energy is -37.028 eV for the cell shown.

The structure belongs to space group Cm (No. 8); the cell edges are 11.348, 3.903 and 4.378 Å and the angles 90.00°, 93.95° and 90.00°. The distinct sites, in fractional coordinates, are Si at (0.000, 0.000, 0.000), Pb at (0.219, 0.000, 0.464), Se at (0.000, 0.500, 0.639) and Se at (0.294, 0.500, 0.027).

No. 6
Density functional theory data (GGA-PBEsol) for a relaxed Sn2PbSe3 crystal.

The value obtained for the volume is 26.92 A^3/atom. As for the uncorrected formation energy: -463 meV/atom. The value obtained for the density of states at the Fermi level is 0.2 states/eV per cell. The value obtained for the total energy is -26.846 eV for the cell shown.

The structure belongs to space group P-3m1 (No. 164); the cell edges are 4.2393, 4.2393 and 10.3789 Å and the angles 90.00°, 90.00° and 120.00°. The distinct sites, in fractional coordinates, are Sn at (0.3333, 0.6667, 0.1635), Pb at (0.0000, 0.0000, 0.5000), Se at (0.0000, 0.0000, 0.0000) and Se at (0.3333, 0.6667, 0.6739).

No. 7
Density functional theory data (GGA-PBEsol) for a relaxed SnPb2Se2 crystal.

The value obtained for the volume is 30.00 A^3/atom. As for the uncorrected formation energy: -29 meV/atom. The value obtained for the density of states at the Fermi level is 4.2 states/eV per cell. The value obtained for the total energy is -40.208 eV for the cell shown.

The structure belongs to space group I4/mmm (No. 139); the cell edges are 5.712, 5.712 and 9.196 Å and the angles 90.00°, 90.00° and 90.00°. The distinct sites, in fractional coordinates, are Sn at (0.000, 0.000, 0.000), Pb at (0.000, 0.000, 0.333) and Se at (0.000, 0.500, 0.250).

No. 8
Density functional theory data (GGA-PBEsol) for a relaxed SnPb2Se crystal.

The value obtained for the volume is 26.32 A^3/atom. As for the uncorrected formation energy: -22 meV/atom. The value obtained for the density of states at the Fermi level is 9.5 states/eV per cell. The value obtained for the total energy is -64.778 eV for the cell shown.

The structure belongs to space group Fm-3m (No. 225); the cell edges are 7.495, 7.495 and 7.495 Å and the angles 90.00°, 90.00° and 90.00°. The distinct sites, in fractional coordinates, are Sn at (0.000, 0.000, 0.000), Pb at (0.250, 0.250, 0.250) and Se at (0.000, 0.000, 0.500).

No. 9
Density functional theory data (GGA-PBEsol) for a relaxed SrPbSe crystal.

The value obtained for the volume is 33.35 A^3/atom. As for the offset from the most stable computed form: 348 meV per atom. As for the uncorrected formation energy: -363 meV/atom. The value obtained for the density of states at the Fermi level is 13.8 states/eV per cell. The value obtained for the total energy is -43.110 eV for the cell shown.

The structure belongs to space group F-43m (No. 216); the cell edges are 7.369, 7.369 and 7.369 Å and the angles 90.00°, 90.00° and 90.00°. The distinct sites, in fractional coordinates, are Sr at (0.000, 0.000, 0.000), Pb at (0.250, 0.250, 0.750) and Se at (0.250, 0.250, 0.250).

No. 10
Density functional theory data (GGA-PBEsol) for a relaxed SrPbSe crystal.

The value obtained for the volume is 29.95 A^3/atom. As for the offset from the most stable computed form: 0 meV per atom. As for the uncorrected formation energy: -710 meV/atom. The value obtained for the density of states at the Fermi level is 1.2 states/eV per cell. The value obtained for the total energy is -11.820 eV for the cell shown.

The structure belongs to space group P3m1 (No. 156); the cell edges are 5.0388, 5.0388 and 4.0860 Å and the angles 90.00°, 90.00° and 120.00°. The distinct sites, in fractional coordinates, are Sr at (0.0000, 0.0000, 0.0000), Pb at (0.3333, 0.6667, 0.4731) and Se at (0.6667, 0.3333, 0.5934).

No. 11
Density functional theory data (GGA-PBEsol) for a relaxed TaPbSe2 crystal.

The value obtained for the volume is 21.12 A^3/atom. As for the uncorrected formation energy: 364 meV/atom. The value obtained for the density of states at the Fermi level is 3.2 states/eV per cell. The value obtained for the total energy is -22.794 eV for the cell shown.

The structure belongs to space group Pmmm (No. 47); the cell edges are 3.526, 4.283 and 5.593 Å and the angles 90.00°, 90.00° and 90.00°. The distinct sites, in fractional coordinates, are Ta at (0.000, 0.000, 0.000), Pb at (0.500, 0.000, 0.500), Se at (0.000, 0.500, 0.500) and Se at (0.500, 0.500, 0.000).

No. 12
Density functional theory data (GGA-PBEsol) for a relaxed TaPbSe2 crystal.

The value obtained for the volume is 23.66 A^3/atom. As for the uncorrected formation energy: -592 meV/atom. The value obtained for the density of states at the Fermi level is 5.1 states/eV per cell. The value obtained for the total energy is -79.850 eV for the cell shown.

The structure belongs to space group R-3m (No. 166, hexagonal axes); the cell edges are 3.3986, 3.3986 and 28.3841 Å and the angles 90.00°, 90.00° and 120.00°. The distinct sites, in fractional coordinates, are Ta at (0.0000, 0.0000, 0.0000), Pb at (0.0000, 0.0000, 0.5000) and Se at (0.0000, 0.0000, 0.3928).